# LaY2Tl

A relaxed structure of LaY2Tl (GGA-PBEsol, Alexandria via LeMat-Bulk).

Cell lengths 7.6246, 7.6246, 7.6246 Å; angles 90.00, 90.00, 90.00 degrees
Closest atoms and distances in Å follow each position.
Space group Fm-3m (No. 225)
Unique sites:
La (0.0000, 0.0000, 0.0000) x4  8 Y 3.30
Y (0.2500, 0.2500, 0.2500) x8  4 Tl 3.30, 4 La 3.30
Tl (0.0000, 0.0000, 0.5000) x4  8 Y 3.30

Results
Calculated formation energy ... -7.7 kJ per mole of atoms
Fermi-level density of states ... 32.32 states/eV/cell
Calculated total energy ... -87.753 eV per cell
Magnetization ... 0.0 μB/f.u.

---

# ZnInSb3

A relaxed structure of ZnInSb3 (GGA-PBEsol, Alexandria via LeMat-Bulk).

Cell lengths 5.5320, 5.5320, 5.5320 Å; angles 90.00, 90.00, 90.00 degrees
Closest atoms and distances in Å follow each position.
Space group Pm-3m (No. 221)
Unique sites:
Zn (0.0000, 0.0000, 0.0000) x1  12 Sb 3.91
In (0.5000, 0.5000, 0.5000) x1  6 Sb 2.77
Sb (0.0000, 0.5000, 0.5000) x3  2 In 2.77

Results
Formation energy from raw total energies ... 0.95 eV/atom
Fermi-level density of states ... 4.83 states/eV/cell
Calculated total energy ... -13.465 eV per cell
Magnetization ... 0.0 μB/f.u.

---

# InTc2Rh

A relaxed structure of InTc2Rh (GGA-PBEsol, Alexandria via LeMat-Bulk).

Cell lengths 2.8081, 2.8081, 26.6106 Å; angles 90.00, 90.00, 120.00 degrees
Closest atoms and distances in Å follow each position.
Space group R3m (No. 160, hexagonal axes)
Unique sites:
In (0.0000, 0.0000, 0.0000) x3  3 Rh 2.79, 6 In 2.81, 3 Tc 2.89
Tc (0.0000, 0.0000, 0.5000) x3  9 Tc 2.61-2.81, 3 Rh 2.70
Tc (0.0000, 0.0000, 0.7567) x3  9 Tc 2.61-2.81, 3 In 2.89
Rh (0.0000, 0.0000, 0.2478) x3  3 Tc 2.70, 3 In 2.79, 6 Rh 2.81

Results
Calculated formation energy ... 9.3 kJ per mole of atoms
Fermi-level density of states ... 9.45 states/eV/cell
Calculated total energy ... -99.803 eV per cell
Magnetization ... 0.0 μB/f.u.

---

# TiZnCuP3O12

A relaxed structure of TiZnCuP3O12 (GGA-PBEsol, Alexandria via LeMat-Bulk).

Cell lengths 8.5178, 8.5178, 20.4341 Å; angles 90.00, 90.00, 120.00 degrees
Closest atoms and distances in Å follow each position.
Space group R3c (No. 161, hexagonal axes)
Unique sites:
Ti (0.0000, 0.0000, 0.0000) x6  6 O 1.86-2.03
Zn (0.0000, 0.0000, 0.1451) x6  6 O 2.10-2.16
Cu (0.0000, 0.0000, 0.2853) x6  6 O 1.92-2.02
P (0.0009, 0.2937, 0.3917) x18  4 O 1.51-1.56
O (0.0031, 0.1893, 0.4533) x18  1 P 1.55
O (0.0128, 0.1802, 0.0682) x18  1 P 1.56
O (0.1419, 0.4602, 0.9960) x18  1 P 1.51
O (0.1748, 0.4811, 0.3845) x18  1 P 1.55

Results
Formation energy from raw total energies ... -1.99 eV/atom
Fermi-level density of states ... 5.37 states/eV/cell
Calculated total energy ... -782.947 eV per cell
Magnetization ... 2.0 μB/f.u.

---

# MoP

A relaxed structure of MoP (GGA-PBEsol, Alexandria via LeMat-Bulk).

Cell lengths 4.7915, 4.7915, 4.7915 Å; angles 90.00, 90.00, 90.00 degrees
Closest atoms and distances in Å follow each position.
Space group P2_13 (No. 198)
Unique sites:
Mo (0.1248, 0.3752, 0.6248) x4  4 P 2.39-2.45
P (0.0878, 0.9122, 0.4122) x4  4 Mo 2.39-2.45

Results
Calculated formation energy ... -53.7 kJ per mole of atoms
Fermi-level density of states ... 5.12 states/eV/cell
Calculated total energy ... -74.693 eV per cell
Magnetization ... 0.0 μB/f.u.

---

# Cu3Pt

A relaxed structure of Cu3Pt (GGA-PBEsol, Alexandria via LeMat-Bulk).

Cell lengths 2.7311, 4.1986, 4.3267 Å; angles 90.00, 90.00, 90.00 degrees
Closest atoms and distances in Å follow each position.
Space group Pmm2 (No. 25)
Unique sites:
Cu (0.0000, 0.0000, 0.0000) x1  8 Cu 2.54-2.73, 4 Pt 2.57
Cu (0.0000, 0.5000, 0.3625) x1  4 Pt 2.56, 8 Cu 2.57-2.73
Cu (0.5000, 0.0000, 0.4946) x1  10 Cu 2.54-2.73, 2 Pt 2.64
Pt (0.5000, 0.5000, 0.8627) x1  10 Cu 2.56-2.64, 2 Pt 2.73

Results
Calculated formation energy ... -8.3 kJ per mole of atoms
Fermi-level density of states ... 1.24 states/eV/cell
Calculated total energy ... -20.310 eV per cell
Magnetization ... 0.0 μB/f.u.

---

# BaIr2Os

A relaxed structure of BaIr2Os (GGA-PBEsol, Alexandria via LeMat-Bulk).

Cell lengths 8.9560, 2.9151, 6.4434 Å; angles 90.00, 100.10, 90.00 degrees
Closest atoms and distances in Å follow each position.
Space group Cm (No. 8)
Unique sites:
Ba (0.0000, 0.0000, 0.0000) x2  2 Ba 2.92, 1 Ir 3.15
Ir (0.2238, 0.0000, 0.6741) x2  2 Os 2.53, 2 Ir 2.65
Ir (0.4957, 0.0000, 0.4747) x2  3 Os 2.52-2.62, 2 Ir 2.65
Os (0.2649, 0.5000, 0.3690) x2  5 Ir 2.52-2.62

Results
Calculated formation energy ... 59.2 kJ per mole of atoms
Fermi-level density of states ... 10.39 states/eV/cell
Calculated total energy ... -63.118 eV per cell
Magnetization ... 0.0 μB/f.u.

---

# TeSeBr

A relaxed structure of TeSeBr (GGA-PBEsol, Alexandria via LeMat-Bulk).

Cell lengths 4.3151, 4.3151, 5.3426 Å; angles 90.00, 90.00, 120.00 degrees
Closest atoms and distances in Å follow each position.
Space group P3m1 (No. 156)
Unique sites:
Te (0.0000, 0.0000, 0.0000) x1  3 Se 2.77, 3 Br 3.09
Se (0.6667, 0.3333, 0.2253) x1  3 Te 2.77
Br (0.3333, 0.6667, 0.6578) x1  3 Te 3.09, 3 Se 3.40

Results
Formation energy from raw total energies ... -0.03 eV/atom
Fermi-level density of states ... 1.45 states/eV/cell
Calculated total energy ... -9.336 eV per cell
Magnetization ... 0.0 μB/f.u.

---

# InTcW2

A relaxed structure of InTcW2 (GGA-PBEsol, Alexandria via LeMat-Bulk).

Cell lengths 3.2617, 4.3860, 4.4885 Å; angles 90.00, 90.00, 90.00 degrees
Closest atoms and distances in Å follow each position.
Space group Pmmm (No. 47)
Unique sites:
In (0.0000, 0.0000, 0.0000) x1  4 Tc 2.73, 4 W 2.77
Tc (0.5000, 0.5000, 0.0000) x1  4 In 2.73, 4 W 2.77
W (0.0000, 0.5000, 0.5000) x1  4 W 2.73, 4 Tc 2.77
W (0.5000, 0.0000, 0.5000) x1  4 W 2.73, 4 In 2.77

Results
Calculated formation energy ... 40.4 kJ per mole of atoms
Fermi-level density of states ... 3.78 states/eV/cell
Calculated total energy ... -40.190 eV per cell
Magnetization ... 0.0 μB/f.u.

---

# TiHgH2

A relaxed structure of TiHgH2 (GGA-PBEsol, Alexandria via LeMat-Bulk).

Cell lengths 4.2606, 4.2606, 9.9376 Å; angles 90.00, 90.00, 90.00 degrees
Closest atoms and distances in Å follow each position.
Space group I-42d (No. 122)
Unique sites:
Ti (0.0000, 0.0000, 0.0000) x4  4 H 1.73
Hg (0.0000, 0.0000, 0.5000) x4  4 H 2.26
H (0.1346, 0.2500, 0.1250) x8  2 Ti 1.73

Results
Fermi-level density of states ... 7.70 states/eV/cell
Calculated total energy ... -61.501 eV per cell
Magnetization ... 0.0 μB/f.u.

---

# Be2AlHg

A relaxed structure of Be2AlHg (GGA-PBEsol, Alexandria via LeMat-Bulk).

Cell lengths 5.1431, 7.3081, 2.9459 Å; angles 90.00, 90.00, 90.00 degrees
Closest atoms and distances in Å follow each position.
Space group Cmmm (No. 65)
Unique sites:
Be (0.2500, 0.2500, 0.0000) x4  2 Be 2.57, 4 Hg 2.68, 4 Al 2.68
Al (0.0000, 0.0000, 0.5000) x2  2 Hg 2.57, 8 Be 2.68
Hg (0.0000, 0.5000, 0.5000) x2  2 Al 2.57, 8 Be 2.68

Results
Calculated formation energy ... 35.2 kJ per mole of atoms
Fermi-level density of states ... 2.52 states/eV/cell
Calculated total energy ... -22.402 eV per cell
Magnetization ... 0.0 μB/f.u.

---

# KCd2Br2

A relaxed structure of KCd2Br2 (GGA-PBEsol, Alexandria via LeMat-Bulk).

Cell lengths 3.9907, 3.9907, 17.9842 Å; angles 90.00, 90.00, 90.00 degrees
Closest atoms and distances in Å follow each position.
Space group I4/mmm (No. 139)
Unique sites:
K (0.0000, 0.0000, 0.0000) x2  8 Br 3.37
Cd (0.0000, 0.5000, 0.2500) x4  4 Cd 2.82
Br (0.0000, 0.0000, 0.3973) x4  4 Cd 3.32, 4 K 3.37, 1 Br 3.70

Results
Formation energy from raw total energies ... -0.73 eV/atom
Fermi-level density of states ... 1.80 states/eV/cell
Calculated total energy ... -21.833 eV per cell
Magnetization ... 0.0 μB/f.u.

---

# LiHfTlRe2

A relaxed structure of LiHfTlRe2 (GGA-PBEsol, Alexandria via LeMat-Bulk).

Cell lengths 4.7946, 4.7946, 5.5075 Å; angles 90.00, 90.00, 90.00 degrees
Closest atoms and distances in Å follow each position.
Space group P4/mmm (No. 123)
Unique sites:
Li (0.0000, 0.0000, 0.0000) x1  4 Tl 3.39, 8 Re 3.65
Hf (0.5000, 0.5000, 0.5000) x1  4 Re 2.40
Tl (0.5000, 0.5000, 0.0000) x1  2 Hf 2.75
Re (0.0000, 0.5000, 0.5000) x2  2 Hf 2.40

Results
Calculated formation energy ... 184.3 kJ per mole of atoms
Fermi-level density of states ... 5.16 states/eV/cell
Calculated total energy ... -32.213 eV per cell
Magnetization ... 1.9 μB/f.u.

---

# CsAuO

A relaxed structure of CsAuO (GGA-PBEsol, Alexandria via LeMat-Bulk).

Cell lengths 10.0955, 10.0955, 6.1483 Å; angles 90.00, 90.00, 90.00 degrees
Closest atoms and distances in Å follow each position.
Space group I4/mmm (No. 139)
Unique sites:
Cs (0.0000, 0.2996, 0.0000) x8  4 O 2.98-3.08
Au (0.1460, 0.1460, 0.5000) x8  2 O 2.02
O (0.0000, 0.2830, 0.5000) x8  2 Au 2.02

Results
Formation energy from raw total energies ... -0.83 eV/atom
Calculated total energy ... -100.766 eV per cell
Magnetization ... 0.0 μB/f.u.

---

# La3AgGeS7

A relaxed structure of La3AgGeS7 (GGA-PBEsol, Alexandria via LeMat-Bulk).

Cell lengths 10.3190, 10.3190, 5.8074 Å; angles 90.00, 90.00, 120.00 degrees
Closest atoms and distances in Å follow each position.
Space group P6_3 (No. 173)
Unique sites:
La (0.1254, 0.7665, 0.0000) x6  8 S 2.89-3.10
Ag (0.0000, 0.0000, 0.0457) x2  3 S 2.42
Ge (0.3333, 0.6667, 0.4170) x2  4 S 2.19-2.23
S (0.0929, 0.8265, 0.5135) x6  1 Ag 2.42
S (0.1071, 0.5204, 0.2641) x6  1 Ge 2.23
S (0.3333, 0.6667, 0.7941) x2  1 Ge 2.19

Results
Formation energy from raw total energies ... -1.56 eV/atom
Fermi-level density of states ... 0.00 states/eV/cell
Calculated total energy ... -147.505 eV per cell
Magnetization ... 0.0 μB/f.u.

---

# SrYPt4

A relaxed structure of SrYPt4 (GGA-PBEsol, Alexandria via LeMat-Bulk).

Cell lengths 7.6638, 7.6638, 7.6638 Å; angles 90.00, 90.00, 90.00 degrees
Closest atoms and distances in Å follow each position.
Space group F-43m (No. 216)
Unique sites:
Sr (0.0000, 0.0000, 0.0000) x4  12 Pt 3.18, 4 Y 3.32
Y (0.2500, 0.2500, 0.2500) x4  12 Pt 3.18, 4 Sr 3.32
Pt (0.1249, 0.1249, 0.6249) x16  6 Pt 2.71

Results
Calculated formation energy ... -90.3 kJ per mole of atoms
Fermi-level density of states ... 20.46 states/eV/cell
Calculated total energy ... -168.517 eV per cell
Magnetization ... 0.0 μB/f.u.

---

# CoAu3Br

A relaxed structure of CoAu3Br (GGA-PBEsol, Alexandria via LeMat-Bulk).

Cell lengths 4.7236, 4.7236, 4.7236 Å; angles 90.00, 90.00, 90.00 degrees
Closest atoms and distances in Å follow each position.
Space group Pm-3m (No. 221)
Unique sites:
Co (0.0000, 0.0000, 0.0000) x1  6 Au 2.36
Au (0.0000, 0.0000, 0.5000) x3  2 Co 2.36
Br (0.5000, 0.5000, 0.5000) x1  12 Au 3.34

Results
Formation energy from raw total energies ... 0.92 eV/atom
Fermi-level density of states ... 4.57 states/eV/cell
Calculated total energy ... -16.800 eV per cell
Magnetization ... 1.8 μB/f.u.

---

# HfPtSe2

A relaxed structure of HfPtSe2 (GGA-PBEsol, Alexandria via LeMat-Bulk).

Cell lengths 4.6301, 4.6301, 15.4846 Å; angles 90.00, 90.00, 90.00 degrees
Closest atoms and distances in Å follow each position.
Space group I-42d (No. 122)
Unique sites:
Hf (0.0000, 0.0000, 0.0000) x4  4 Se 2.55
Pt (0.0000, 0.0000, 0.5000) x4  4 Se 2.52
Se (0.2424, 0.2500, 0.6250) x8  2 Pt 2.52, 2 Hf 2.55

Results
Formation energy from raw total energies ... -0.51 eV/atom
Fermi-level density of states ... 4.56 states/eV/cell
Calculated total energy ... -108.861 eV per cell
Magnetization ... 0.0 μB/f.u.

---

# KCu2GeS4

A relaxed structure of KCu2GeS4 (GGA-PBEsol, Alexandria via LeMat-Bulk).

Cell lengths 6.2160, 6.2160, 8.1686 Å; angles 90.00, 90.00, 90.00 degrees
Closest atoms and distances in Å follow each position.
Space group I-42m (No. 121)
Unique sites:
K (0.0000, 0.0000, 0.0000) x2  8 S 2.94-3.27
Cu (0.0000, 0.5000, 0.2500) x4  4 S 2.35
Ge (0.0000, 0.0000, 0.5000) x2  4 S 2.22
S (0.2021, 0.2021, 0.6637) x8  1 Ge 2.22, 2 Cu 2.35

Results
Formation energy from raw total energies ... -0.47 eV/atom
Fermi-level density of states ... 8.14 states/eV/cell
Calculated total energy ... -72.032 eV per cell
Magnetization ... 0.0 μB/f.u.

---

# GaGe3Os

A relaxed structure of GaGe3Os (GGA-PBEsol, Alexandria via LeMat-Bulk).

Cell lengths 4.7554, 4.7554, 4.7554 Å; angles 90.00, 90.00, 90.00 degrees
Closest atoms and distances in Å follow each position.
Space group Pm-3m (No. 221)
Unique sites:
Ga (0.0000, 0.0000, 0.0000) x1  12 Ge 3.36
Ge (0.0000, 0.5000, 0.5000) x3  2 Os 2.38
Os (0.5000, 0.5000, 0.5000) x1  6 Ge 2.38

Results
Calculated formation energy ... 42.8 kJ per mole of atoms
Fermi-level density of states ... 4.09 states/eV/cell
Calculated total energy ... -28.155 eV per cell
Magnetization ... 0.0 μB/f.u.